P:
# V6Re2W

Crystalline V6Re2W at its relaxed geometry (PBE, Alexandria via LeMat-Bulk).

```
V6Re2W
1.0
4.307 0.000 0.000
-2.153 3.730 0.000
0.000 0.000 7.857
V Re W
6 2 1
Cartesian
0.000 0.000 1.322
0.000 0.000 6.535
0.000 2.487 3.036
0.000 2.487 5.689
2.153 1.243 2.168
2.153 1.243 4.821
0.000 2.487 0.446
2.153 1.243 7.411
0.000 0.000 3.929
```

- Fermi-level density of states (states/eV/cell) = 6.862

Q:
# V6Re2W

Crystalline V6Re2W at its relaxed geometry (PBE, Alexandria via LeMat-Bulk).

```
V6Re2W
1.0
4.310 -2.457 0.000
4.310 2.457 0.000
-2.377 0.000 6.163
V Re W
6 2 1
Cartesian
1.933 1.266 4.917
2.132 0.000 0.209
4.310 1.266 1.246
1.933 -1.266 4.917
4.112 0.000 5.954
4.310 -1.266 1.246
0.032 0.000 3.812
6.212 0.000 2.351
3.122 0.000 3.081
```

- Fermi-level density of states (states/eV/cell) = 8.256

Energies relative to the most stable structure, in eV/atom: P 0.000; Q 0.400.

P:
# VReW4

Crystalline VReW4 at its relaxed geometry (PBE, Alexandria via LeMat-Bulk).

```
VReW4
1.0
9.939 0.000 0.000
0.000 3.144 0.000
-1.995 0.000 5.967
V Re W
2 2 8
Cartesian
0.000 0.000 0.000
4.969 1.572 0.000
-0.997 0.000 2.983
3.972 1.572 2.983
-0.035 1.572 4.983
0.997 1.572 1.972
1.978 0.000 3.995
3.009 0.000 0.984
4.935 0.000 4.983
5.967 0.000 1.972
6.947 1.572 3.995
7.979 1.572 0.984
```

- Fermi-level density of states (states/eV/cell) = 5.697

Q:
# VReW4

Crystalline VReW4 at its relaxed geometry (PBE, Alexandria via LeMat-Bulk).

```
VReW4
1.0
7.008 0.000 0.000
0.000 7.296 0.000
0.000 0.000 4.607
V Re W
2 2 8
Cartesian
0.000 0.000 0.000
3.504 3.648 0.000
0.000 3.648 2.304
3.504 0.000 2.304
0.000 1.216 2.304
0.000 6.080 2.304
1.230 3.648 0.000
2.274 0.000 0.000
3.504 2.432 2.304
3.504 4.864 2.304
4.734 0.000 0.000
5.778 3.648 0.000
```

- Fermi-level density of states (states/eV/cell) = 10.127

Energies relative to the most stable structure, in eV/atom: P 0.000; Q 1.833.

P:
# V4Re3W2

Crystalline V4Re3W2 at its relaxed geometry (PBE, Alexandria via LeMat-Bulk).

```
V4Re3W2
1.0
5.798 -4.852 0.000
5.798 4.852 0.000
-0.011 0.000 4.759
V Re W
8 6 4
Cartesian
3.945 1.710 2.372
5.031 2.539 4.757
6.548 2.539 2.381
7.646 1.710 0.007
3.939 -1.710 4.752
5.037 -2.539 2.378
6.554 -2.539 0.002
7.640 -1.710 2.387
1.099 0.728 2.374
1.094 -0.728 4.754
5.795 0.001 1.190
5.790 -0.001 3.569
10.491 0.728 0.005
10.486 -0.728 2.385
3.089 0.900 4.750
3.095 -0.900 2.371
8.490 0.900 2.388
8.496 -0.900 0.009
```

- Fermi-level density of states (states/eV/cell) = 15.534

Q:
# V4Re3W2

Crystalline V4Re3W2 at its relaxed geometry (PBE, Alexandria via LeMat-Bulk).

```
V4Re3W2
1.0
4.344 0.000 0.000
-2.172 3.762 0.000
0.000 0.000 7.961
V Re W
4 3 2
Cartesian
0.000 0.000 1.339
0.000 0.000 6.621
0.000 2.508 3.096
2.172 1.254 4.865
0.000 0.000 3.980
0.000 2.508 0.450
2.172 1.254 7.510
0.000 2.508 5.747
2.172 1.254 2.214
```

- Fermi-level density of states (states/eV/cell) = 4.026

Energies relative to the most stable structure, in eV/atom: P 0.301; Q 0.000.

P:
# V3ReW

Crystalline V3ReW at its relaxed geometry (PBE, Alexandria via LeMat-Bulk).

```
V3ReW
1.0
2.160 -7.595 0.000
2.160 7.595 0.000
0.000 0.000 4.311
V Re W
6 2 2
Cartesian
2.160 6.838 3.234
2.160 3.805 3.234
2.160 0.760 3.234
2.160 -0.760 1.078
2.160 -3.805 1.078
2.160 -6.838 1.078
2.160 2.254 1.078
2.160 -2.254 3.234
2.160 5.341 1.078
2.160 -5.341 3.234
```

- Fermi-level density of states (states/eV/cell) = 5.877

Q:
# V3ReW

Crystalline V3ReW at its relaxed geometry (PBE, Alexandria via LeMat-Bulk).

```
V3ReW
1.0
3.747 -2.158 0.000
3.747 2.158 0.000
-2.527 0.000 8.826
V Re W
6 2 2
Cartesian
-0.002 0.000 1.312
-0.012 0.000 3.959
-0.021 0.000 6.625
4.988 0.000 2.201
4.978 0.000 4.867
4.969 0.000 7.514
2.498 0.000 0.435
2.468 0.000 8.391
2.489 0.000 3.073
2.478 0.000 5.752
```

- Fermi-level density of states (states/eV/cell) = 7.924

R:
# V3ReW

Crystalline V3ReW at its relaxed geometry (PBE, Alexandria via LeMat-Bulk).

```
V3ReW
1.0
4.485 0.000 0.000
0.000 4.485 0.000
0.000 0.000 4.485
V Re W
3 1 1
Cartesian
0.000 0.000 2.242
0.000 2.242 0.000
2.242 0.000 0.000
2.242 2.242 2.242
0.000 0.000 0.000
```

- Fermi-level density of states (states/eV/cell) = 7.482

Energies relative to the most stable structure, in eV/atom: P 0.000; Q 0.035; R 2.008.

P:
# V4ReW5

Crystalline V4ReW5 at its relaxed geometry (PBE, Alexandria via LeMat-Bulk).

```
V4ReW5
1.0
6.877 -2.074 0.000
6.877 2.074 0.000
-2.203 0.000 5.608
V Re W
4 1 5
Cartesian
-0.520 0.000 1.395
3.296 0.000 3.338
8.255 0.000 2.270
12.071 0.000 4.213
5.775 0.000 2.804
0.852 0.000 3.809
2.259 0.000 0.720
6.877 0.000 0.000
9.292 0.000 4.888
10.699 0.000 1.800
```

- Fermi-level density of states (states/eV/cell) = 10.731

Q:
# V4ReW5

Crystalline V4ReW5 at its relaxed geometry (PBE, Alexandria via LeMat-Bulk).

```
V4ReW5
1.0
3.099 0.000 0.000
0.000 3.099 0.000
0.000 0.000 15.487
V Re W
4 1 5
Cartesian
0.000 0.000 1.535
0.000 0.000 4.605
0.000 0.000 10.882
0.000 0.000 13.952
0.000 0.000 7.744
1.549 1.549 0.000
1.549 1.549 3.084
1.549 1.549 6.139
1.549 1.549 9.348
1.549 1.549 12.403
```

- Fermi-level density of states (states/eV/cell) = 4.976

Energies relative to the most stable structure, in eV/atom: P 0.569; Q 0.000.

P:
# VReW3

Crystalline VReW3 at its relaxed geometry (PBE, Alexandria via LeMat-Bulk).

```
VReW3
1.0
2.217 -7.846 0.000
2.217 7.846 0.000
0.000 0.000 4.421
V Re W
2 2 6
Cartesian
2.217 3.939 3.316
2.217 -3.939 1.105
2.217 0.830 3.316
2.217 -0.830 1.105
2.217 7.048 3.316
2.217 5.448 1.105
2.217 2.396 1.105
2.217 -2.396 3.316
2.217 -5.448 3.316
2.217 -7.048 1.105
```

- Fermi-level density of states (states/eV/cell) = 5.332

Q:
# VReW3

Crystalline VReW3 at its relaxed geometry (PBE, Alexandria via LeMat-Bulk).

```
VReW3
1.0
4.450 0.000 0.000
0.000 4.450 0.000
0.000 0.000 4.450
V Re W
1 1 3
Cartesian
0.000 0.000 0.000
2.225 2.225 2.225
0.000 0.000 2.225
0.000 2.225 0.000
2.225 0.000 0.000
```

- Fermi-level density of states (states/eV/cell) = 4.988

R:
# VReW3

Crystalline VReW3 at its relaxed geometry (PBE, Alexandria via LeMat-Bulk).

```
VReW3
1.0
5.691 -6.535 0.000
5.691 6.535 0.000
-1.072 0.000 4.312
V Re W
4 4 12
Cartesian
4.888 5.866 3.234
5.423 4.426 1.078
4.888 -4.426 3.234
5.423 -5.866 1.078
3.907 0.857 2.395
4.443 -0.857 0.239
5.868 0.857 4.073
6.404 -0.857 1.917
3.190 4.125 2.565
1.245 0.769 3.915
4.176 2.434 0.290
1.781 -0.769 1.759
6.585 4.125 3.903
6.671 2.434 1.865
3.640 -2.434 2.446
3.726 -4.125 0.409
8.530 0.769 2.553
6.135 -2.434 4.021
9.066 -0.769 0.397
7.121 -4.125 1.747
```

- Fermi-level density of states (states/eV/cell) = 16.552

Energies relative to the most stable structure, in eV/atom: P 0.000; Q 1.850; R 0.480.

P:
# VReW2

Crystalline VReW2 at its relaxed geometry (PBE, Alexandria via LeMat-Bulk).

```
VReW2
1.0
4.409 0.000 0.000
0.000 4.409 0.000
0.000 0.000 3.128
V Re W
1 1 2
Cartesian
0.000 0.000 0.000
2.205 2.205 0.000
0.000 2.205 1.564
2.205 0.000 1.564
```

- Fermi-level density of states (states/eV/cell) = 2.362

Q:
# VReW2

Crystalline VReW2 at its relaxed geometry (PBE, Alexandria via LeMat-Bulk).

```
VReW2
1.0
5.112 0.000 0.000
0.000 4.491 0.000
0.000 0.000 5.487
V Re W
2 2 4
Cartesian
1.278 0.000 0.782
3.834 0.000 4.705
0.000 2.246 0.000
2.556 2.246 0.000
1.278 0.000 3.673
1.278 2.246 2.339
3.834 0.000 1.814
3.834 2.246 3.148
```

- Fermi-level density of states (states/eV/cell) = 5.463

Energies relative to the most stable structure, in eV/atom: P 0.000; Q 0.401.

P:
# VReW2

Crystalline VReW2 at its relaxed geometry (PBE, Alexandria via LeMat-Bulk).

```
VReW2
1.0
6.240 0.000 0.000
0.000 6.240 0.000
0.000 0.000 6.240
V Re W
4 4 8
Cartesian
0.000 0.000 0.000
0.000 3.120 3.120
3.120 0.000 3.120
3.120 3.120 0.000
0.000 0.000 3.120
0.000 3.120 0.000
3.120 0.000 0.000
3.120 3.120 3.120
1.560 1.560 1.560
1.560 1.560 4.680
1.560 4.680 1.560
1.560 4.680 4.680
4.680 1.560 1.560
4.680 1.560 4.680
4.680 4.680 1.560
4.680 4.680 4.680
```

- Fermi-level density of states (states/eV/cell) = 5.381

Q:
# VReW2

Crystalline VReW2 at its relaxed geometry (PBE, Alexandria via LeMat-Bulk).

```
VReW2
1.0
7.088 0.000 0.000
0.000 7.088 0.000
0.000 0.000 5.286
V Re W
4 4 8
Cartesian
0.000 0.000 0.000
0.000 3.544 1.321
3.544 0.000 3.964
3.544 3.544 2.643
0.000 0.000 2.643
0.000 3.544 3.964
3.544 0.000 1.321
3.544 3.544 0.000
1.741 1.772 3.304
1.772 5.285 4.625
1.772 5.348 1.982
1.804 1.772 0.661
5.285 5.316 0.661
5.316 1.741 1.982
5.316 1.804 4.625
5.348 5.316 3.304
```

- Fermi-level density of states (states/eV/cell) = 18.408

Energies relative to the most stable structure, in eV/atom: P 0.000; Q 1.013.

P:
# VReW

Crystalline VReW at its relaxed geometry (PBE, Alexandria via LeMat-Bulk).

```
VReW
1.0
9.273 0.000 0.000
0.000 4.367 0.000
-3.051 0.000 4.398
V Re W
4 4 4
Cartesian
0.000 0.000 0.000
0.022 2.184 2.198
4.637 2.184 0.000
4.659 0.000 2.198
1.537 2.184 0.003
1.530 0.000 2.196
6.173 0.000 0.003
6.167 2.184 2.196
-1.529 0.000 2.205
3.109 0.000 0.012
3.108 2.184 2.205
7.746 2.184 0.012
```

- Fermi-level density of states (states/eV/cell) = 7.834

Q:
# VReW

Crystalline VReW at its relaxed geometry (PBE, Alexandria via LeMat-Bulk).

```
VReW
1.0
2.849 0.000 0.000
0.000 14.192 0.000
0.000 0.000 4.622
V Re W
4 4 4
Cartesian
0.000 0.000 0.000
0.000 0.000 2.311
1.424 7.096 0.000
1.424 7.096 2.311
0.000 5.171 1.155
0.000 9.021 3.466
1.424 1.925 3.466
1.424 12.267 1.155
0.000 2.610 1.155
0.000 11.582 3.466
1.424 4.486 3.466
1.424 9.706 1.155
```

- Fermi-level density of states (states/eV/cell) = 11.184

R:
# VReW

Crystalline VReW at its relaxed geometry (PBE, Alexandria via LeMat-Bulk).

```
VReW
1.0
4.399 0.000 0.000
0.000 9.310 0.000
0.000 0.000 4.361
V Re W
4 4 4
Cartesian
0.000 1.560 0.000
0.000 7.749 0.000
2.199 3.095 0.000
2.199 6.215 0.000
0.000 3.083 2.181
0.000 6.227 2.181
2.199 1.572 2.181
2.199 7.738 2.181
0.000 0.000 2.181
0.000 4.655 0.000
2.199 0.000 0.000
2.199 4.655 2.181
```

- Fermi-level density of states (states/eV/cell) = 7.014

Energies relative to the most stable structure, in eV/atom: P 0.000; Q 0.513; R 0.019.